(1)
This record from Alexandria describes a relaxed structure of CaTc3Os. The functional is GGA-PBE.

Cell lengths 4.762, 4.762, 4.762 Å; angles 90.00, 90.00, 90.00 degrees
Space group Pm-3m (No. 221)
Unique sites:
Ca (0.000, 0.000, 0.000)
Tc (0.000, 0.500, 0.500)
Os (0.500, 0.500, 0.500)

Output
**Total DFT energy (no corrections)**: -38.4 eV for the cell shown
**Magnetization**: 0.88 μB/f.u.
**Energy relative to the elements**: 115.30 kJ/mol of atoms
**Relative energy among the computed polymorphs**: 0 meV/atom

***

(2)
This record from Alexandria describes a relaxed structure of Hf3MnN. The functional is GGA-PBE.

Cell lengths 4.701, 4.701, 4.701 Å; angles 90.00, 90.00, 90.00 degrees
Space group Pm-3m (No. 221)
Unique sites:
Hf (0.000, 0.000, 0.500)
Mn (0.000, 0.000, 0.000)
N (0.500, 0.500, 0.500)

Output
**Total DFT energy (no corrections)**: -41.2 eV for the cell shown
**Magnetization**: 0.00 μB/f.u.

***

(3)
This record from Alexandria describes a relaxed structure of Tm2Tl3CuSe6. The functional is GGA-PBE.

Cell lengths 7.165, 12.057, 7.913 Å; angles 90.00, 109.37, 90.00 degrees
Space group C2/m (No. 12)
Unique sites:
Tm (0.000, 0.163, 0.000)
Tl (0.000, 0.000, 0.500)
Tl (0.000, 0.318, 0.500)
Cu (0.000, 0.500, 0.000)
Se (0.217, 0.347, 0.188)
Se (0.235, 0.000, 0.231)

Output
**Total DFT energy (no corrections)**: -103.5 eV for the cell shown
**Magnetization**: 0.00 μB/f.u.

***

(4)
This record from Alexandria describes a relaxed structure of LiSn2Sb2. The functional is GGA-PBE.

Cell lengths 4.326, 4.326, 15.703 Å; angles 90.00, 90.00, 90.00 degrees
Space group I4/mmm (No. 139)
Unique sites:
Li (0.000, 0.000, 0.000)
Sn (0.000, 0.500, 0.250)
Sb (0.000, 0.000, 0.411)

Output
**Total DFT energy (no corrections)**: -36.0 eV for the cell shown
**Magnetization**: 0.00 μB/f.u.
**Relative energy among the computed polymorphs**: 71 meV/atom